A plane-wave DFT calculation with PBE-GGA was carried out for crystalline Tb4NdEr3Se8 at its relaxed geometry.

abc: 8.1877 8.1839 8.1917
angles: 120.06 119.99 90.00
Sites, in units of the cell vectors:
Er 0.5000 0.5000 0.0000
Er 0.5000 0.5000 0.5000
Er 0.0000 0.5000 0.5000
Tb 0.5000 0.0000 0.0000
Tb 0.0000 0.0000 0.5000
Tb 0.0000 0.0000 0.0000
Tb 0.5000 0.0000 0.5000
Nd 0.0000 0.5000 0.0000
Se 0.7480 0.7440 0.4960
Se 0.7459 0.2501 0.4918
Se 0.7459 0.2500 0.0042
Se 0.2520 0.2560 0.5040
Se 0.2541 0.7500 0.9958
Se 0.2541 0.7499 0.5082
Se 0.2582 0.2500 0.0041
Se 0.7418 0.7500 0.9959

Output
As for the symmetry: No. 166. As for the final energy: -5.80 eV/atom. For the density, the calculation gives 8.19 g/cm³. Its uncorrected formation energy is -1.7424 eV/atom.